(1)
The following is a PBE calculation of crystalline CoS2IN at its relaxed geometry, from the Alexandria database.

Relative energy among the computed polymorphs (kJ/mol of formula units): 498.6
Raw formation energy (eV/atom): 1.708
Space-group type: P4/mmm (123)
D(E_F) (states/eV/cell): 3.5

Cell: 5.1701 5.1701 3.8890 Å, 90.00 90.00 90.00°
Last column: magnetic moment on the atom in μB.
Positions (direct):
N 0.0000 0.0000 0.5000  0.07
S 0.5000 0.0000 0.0000  0.12
S 0.0000 0.5000 0.0000  0.12
Co 0.5000 0.5000 0.5000  2.37
I 0.0000 0.0000 0.0000  0.00

***

(2)
The following is a PBE calculation of crystalline CoSI2N at its relaxed geometry, from the Alexandria database.

Relative energy among the computed polymorphs (kJ/mol of formula units): 230.4
Raw formation energy (eV/atom): 1.223
Space-group type: P4/mmm (123)
D(E_F) (states/eV/cell): 5.4

Cell: 5.9149 5.9149 3.3482 Å, 90.00 90.00 90.00°
Last column: magnetic moment on the atom in μB.
Positions (direct):
S 0.0000 0.0000 0.0000  0.00
Co 0.5000 0.5000 0.5000  2.04
I 0.5000 0.0000 0.0000  0.02
I 0.0000 0.5000 0.0000  0.02
N 0.0000 0.0000 0.5000  0.01

***

(3)
The following is a PBE calculation of crystalline CoSI2N at its relaxed geometry, from the Alexandria database.

Relative energy among the computed polymorphs (kJ/mol of formula units): 0.0
Raw formation energy (eV/atom): 0.745
Space-group type: P4/mmm (123)
D(E_F) (states/eV/cell): 5.4

Cell: 5.4307 5.4307 3.4338 Å, 90.00 90.00 90.00°
Positions (direct):
S 0.5000 0.5000 0.5000
N 0.0000 0.0000 0.5000
I 0.0000 0.5000 0.0000
I 0.5000 0.0000 0.0000
Co 0.0000 0.0000 0.0000